[1]
First-principles (GGA-PBE) data for ScGe3Se after structural relaxation, as listed in Alexandria via LeMat-Bulk.

a b c (Å): 5.0381 5.0381 5.0381
angles (deg): 90.00 90.00 90.00
Atoms (fractional coordinates):
1 Ge 0.0000 0.5000 0.0000
2 Ge 0.5000 0.0000 0.0000
3 Ge 0.0000 0.0000 0.5000
4 Se 0.0000 0.0000 0.0000
5 Sc 0.5000 0.5000 0.5000

Computed properties:
distance to the lowest polymorph of the same formula: 0.000 eV/atom

=====

[2]
First-principles (GGA-PBE) data for Sc2GeSe after structural relaxation, as listed in Alexandria via LeMat-Bulk.

a b c (Å): 3.8524 3.8524 7.0230
angles (deg): 74.08 74.08 60.00
Atoms (fractional coordinates):
1 Sc 0.0773 0.0773 0.7681
2 Sc 0.2564 0.2564 0.2309
3 Ge 0.6682 0.6682 0.9953
4 Se 0.4981 0.4981 0.5057

Computed properties:
distance to the lowest polymorph of the same formula: 0.101 eV/atom

=====

[3]
First-principles (GGA-PBE) data for Sc3GeSe2 after structural relaxation, as listed in Alexandria via LeMat-Bulk.

a b c (Å): 3.8899 5.4858 6.7446
angles (deg): 114.00 106.76 90.00
Atoms (fractional coordinates):
1 Se 0.8312 0.8312 0.1624
2 Se 0.1688 0.1688 0.8376
3 Ge 0.5000 0.5000 0.5000
4 Sc 0.8413 0.3413 0.1826
5 Sc 0.1587 0.6587 0.8174
6 Sc 0.5000 0.0000 0.5000

Computed properties:
total DFT energy (no corrections): -6.50 eV per atom

=====

[4]
First-principles (GGA-PBE) data for Sc2Ge2Se after structural relaxation, as listed in Alexandria via LeMat-Bulk.

a b c (Å): 7.2181 7.2181 3.9769
angles (deg): 90.00 90.00 90.00
Atoms (fractional coordinates):
1 Ge 0.8814 0.3814 0.5000
2 Ge 0.1186 0.6186 0.5000
3 Ge 0.3814 0.1186 0.5000
4 Ge 0.6186 0.8814 0.5000
5 Sc 0.1808 0.3192 0.0000
6 Sc 0.3192 0.8192 0.0000
7 Sc 0.6808 0.1808 0.0000
8 Sc 0.8192 0.6808 0.0000
9 Se 0.5000 0.5000 0.0000
10 Se 0.0000 0.0000 0.0000

Computed properties:
distance to the lowest polymorph of the same formula: 0.000 eV/atom

=====

[5]
First-principles (GGA-PBE) data for ScGeSe2 after structural relaxation, as listed in Alexandria via LeMat-Bulk.

a b c (Å): 8.4662 8.4662 8.4662
angles (deg): 26.50 26.50 26.50
Atoms (fractional coordinates):
1 Ge 0.5000 0.5000 0.5000
2 Se 0.8962 0.8962 0.8962
3 Se 0.1038 0.1038 0.1038
4 Sc 0.0000 0.0000 0.0000

Computed properties:
total DFT energy (no corrections): -4.77 eV per atom

=====

[6]
First-principles (GGA-PBE) data for Sc2Ge2Se after structural relaxation, as listed in Alexandria via LeMat-Bulk.

a b c (Å): 3.6723 3.6723 7.8403
angles (deg): 76.46 76.46 90.00
Atoms (fractional coordinates):
1 Ge 0.2500 0.7500 0.5000
2 Ge 0.7500 0.2500 0.5000
3 Sc 0.6054 0.6054 0.7893
4 Sc 0.3946 0.3946 0.2107
5 Se 0.0000 0.0000 0.0000

Computed properties:
distance to the lowest polymorph of the same formula: 0.042 eV/atom

=====

[7]
First-principles (GGA-PBE) data for Sc6GeSe5 after structural relaxation, as listed in Alexandria via LeMat-Bulk.

a b c (Å): 6.7430 6.7220 6.7191
angles (deg): 59.99 80.45 70.63
Atoms (fractional coordinates):
1 Se 0.0000 0.6663 0.6674
2 Se 0.5000 0.8306 0.3388
3 Se 0.5000 0.1694 0.6612
4 Se 0.5000 0.5000 0.0000
5 Se 0.0000 0.3337 0.3326
6 Sc 0.7582 0.7590 0.0000
7 Sc 0.7580 0.0801 0.3224
8 Sc 0.2418 0.2410 0.0000
9 Sc 0.7580 0.4024 0.6776
10 Sc 0.2420 0.5976 0.3224
11 Sc 0.2420 0.9199 0.6776
12 Ge 0.0000 0.0000 0.0000

Computed properties:
total DFT energy (no corrections): -6.52 eV per atom

=====

[8]
First-principles (GGA-PBE) data for Sc2GeSe after structural relaxation, as listed in Alexandria via LeMat-Bulk.

a b c (Å): 4.8239 4.8239 4.8239
angles (deg): 60.00 60.00 60.00
Atoms (fractional coordinates):
1 Sc 0.7500 0.7500 0.7500
2 Sc 0.2500 0.2500 0.2500
3 Se 0.5000 0.5000 0.5000
4 Ge 0.0000 0.0000 0.0000

Computed properties:
distance to the lowest polymorph of the same formula: 0.440 eV/atom

=====

[9]
First-principles (GGA-PBE) data for ScGe6Se8 after structural relaxation, as listed in Alexandria via LeMat-Bulk.

a b c (Å): 7.5930 7.5930 7.5930
angles (deg): 75.72 75.72 75.72
Atoms (fractional coordinates):
1 Se 0.8264 0.3179 0.1341
2 Se 0.8659 0.1736 0.6821
3 Se 0.7167 0.7167 0.7167
4 Se 0.3179 0.1341 0.8264
5 Se 0.6821 0.8659 0.1736
6 Se 0.1736 0.6821 0.8659
7 Se 0.2833 0.2833 0.2833
8 Se 0.1341 0.8264 0.3179
9 Ge 0.3949 0.8809 0.6393
10 Ge 0.6393 0.3949 0.8809
11 Ge 0.3607 0.6051 0.1191
12 Ge 0.8809 0.6393 0.3949
13 Ge 0.6051 0.1191 0.3607
14 Ge 0.1191 0.3607 0.6051
15 Sc 0.0000 0.0000 0.0000

Computed properties:
total DFT energy (no corrections): -4.54 eV per atom

=====

[10]
First-principles (GGA-PBE) data for Sc2GeSe after structural relaxation, as listed in Alexandria via LeMat-Bulk.

a b c (Å): 7.9775 7.9775 7.9775
angles (deg): 30.40 30.40 30.40
Atoms (fractional coordinates):
1 Ge 0.5000 0.5000 0.5000
2 Se 0.0000 0.0000 0.0000
3 Sc 0.8920 0.8920 0.8920
4 Sc 0.1080 0.1080 0.1080

Computed properties:
distance to the lowest polymorph of the same formula: 0.540 eV/atom

=====

[11]
First-principles (GGA-PBE) data for Sc5GeSe5 after structural relaxation, as listed in Alexandria via LeMat-Bulk.

a b c (Å): 5.4671 6.7001 7.7068
angles (deg): 106.69 90.00 114.08
Atoms (fractional coordinates):
1 Sc 0.8379 0.6758 0.6690
2 Sc 0.1605 0.3211 0.8293
3 Sc 0.8395 0.6789 0.1707
4 Sc 0.1621 0.3242 0.3310
5 Sc 0.5000 0.0000 0.0000
6 Ge 0.0000 0.0000 0.0000
7 Se 0.6683 0.3367 0.3349
8 Se 0.3317 0.6633 0.6651
9 Se 0.0000 0.0000 0.5000
10 Se 0.6689 0.3378 0.8351
11 Se 0.3311 0.6622 0.1649

Computed properties:
total DFT energy (no corrections): -6.44 eV per atom

=====

[12]
First-principles (GGA-PBE) data for Sc8GeSe6 after structural relaxation, as listed in Alexandria via LeMat-Bulk.

a b c (Å): 10.0701 10.0701 3.7372
angles (deg): 90.00 90.00 120.00
Atoms (fractional coordinates):
1 Sc 0.2812 0.2590 0.7457
2 Sc 0.6667 0.3333 0.2530
3 Sc 0.9778 0.7188 0.7457
4 Sc 0.7410 0.0222 0.7457
5 Sc 0.2590 0.9778 0.2543
6 Sc 0.0222 0.2812 0.2543
7 Sc 0.7188 0.7410 0.2543
8 Sc 0.3333 0.6667 0.7470
9 Se 0.4658 0.1333 0.7496
10 Se 0.8667 0.3325 0.7496
11 Se 0.3325 0.4658 0.2504
12 Se 0.1333 0.6675 0.2504
13 Se 0.6675 0.5342 0.7496
14 Se 0.5342 0.8667 0.2504
15 Ge 0.0000 0.0000 0.5000

Computed properties:
total DFT energy (no corrections): -6.26 eV per atom

=====

[13]
First-principles (GGA-PBE) data for Sc2GeSe after structural relaxation, as listed in Alexandria via LeMat-Bulk.

a b c (Å): 3.8756 3.8756 6.8283
angles (deg): 73.48 73.48 60.01
Atoms (fractional coordinates):
1 Se 0.5000 0.5000 0.5000
2 Sc 0.2538 0.2538 0.2384
3 Sc 0.7462 0.7462 0.7616
4 Ge 0.0000 0.0000 0.0000

Computed properties:
distance to the lowest polymorph of the same formula: 0.000 eV/atom

=====

[14]
First-principles (GGA-PBE) data for ScGe2Se4 after structural relaxation, as listed in Alexandria via LeMat-Bulk.

a b c (Å): 6.3074 6.3074 6.3074
angles (deg): 107.18 107.18 114.16
Atoms (fractional coordinates):
1 Se 0.6835 0.8040 0.4875
2 Se 0.3165 0.1960 0.5125
3 Se 0.1960 0.6835 0.8795
4 Se 0.8040 0.3165 0.1205
5 Ge 0.2500 0.7500 0.5000
6 Ge 0.7500 0.2500 0.5000
7 Sc 0.5000 0.5000 0.0000

Computed properties:
total DFT energy (no corrections): -4.68 eV per atom

=====

[15]
First-principles (GGA-PBE) data for Sc2GeSe after structural relaxation, as listed in Alexandria via LeMat-Bulk.

a b c (Å): 5.4996 3.8573 7.8878
angles (deg): 90.00 90.00 90.00
Atoms (fractional coordinates):
1 Se 0.7009 0.2334 0.9887
2 Se 0.2009 0.7334 0.2273
3 Sc 0.7010 0.7333 0.7298
4 Sc 0.7009 0.7333 0.2456
5 Sc 0.2010 0.2334 0.4862
6 Sc 0.2009 0.2334 0.9704
7 Ge 0.2011 0.7333 0.7324
8 Ge 0.7010 0.2332 0.4836

Computed properties:
distance to the lowest polymorph of the same formula: 0.004 eV/atom

=====

[16]
First-principles (GGA-PBE) data for Sc4GeSe3 after structural relaxation, as listed in Alexandria via LeMat-Bulk.

a b c (Å): 3.8758 6.7444 6.7444
angles (deg): 109.37 90.00 90.00
Atoms (fractional coordinates):
1 Se 0.0000 0.0000 0.5000
2 Se 0.0000 0.5000 0.0000
3 Se 0.5000 0.5000 0.5000
4 Sc 0.0000 0.2388 0.2388
5 Sc 0.5000 0.7578 0.2422
6 Sc 0.5000 0.2422 0.7578
7 Sc 0.0000 0.7612 0.7612
8 Ge 0.5000 0.0000 0.0000

Computed properties:
total DFT energy (no corrections): -6.51 eV per atom

=====

[17]
First-principles (GGA-PBE) data for ScGeSe2 after structural relaxation, as listed in Alexandria via LeMat-Bulk.

a b c (Å): 8.8031 8.8031 8.8031
angles (deg): 24.64 24.64 24.64
Atoms (fractional coordinates):
1 Ge 0.0000 0.0000 0.0000
2 Sc 0.5000 0.5000 0.5000
3 Se 0.1052 0.1052 0.1052
4 Se 0.8948 0.8948 0.8948

Computed properties:
total DFT energy (no corrections): -5.29 eV per atom

=====

[18]
First-principles (GGA-PBE) data for Sc6SiGe2Se3 after structural relaxation, as listed in Alexandria via LeMat-Bulk.

a b c (Å): 3.8728 7.8316 8.7406
angles (deg): 104.14 102.80 90.00
Atoms (fractional coordinates):
1 Sc 0.6688 0.5769 0.3376
2 Sc 0.9979 0.7588 0.9958
3 Sc 0.0021 0.2412 0.0042
4 Sc 0.3312 0.4231 0.6624
5 Sc 0.3368 0.9115 0.6736
6 Sc 0.6632 0.0885 0.3264
7 Se 0.5000 0.5000 0.0000
8 Se 0.8331 0.1667 0.6662
9 Se 0.1669 0.8333 0.3338
10 Ge 0.1666 0.3330 0.3332
11 Ge 0.8334 0.6670 0.6668
12 Si 0.5000 0.0000 0.0000

Computed properties:
total DFT energy (no corrections): -6.48 eV per atom

=====

[19]
First-principles (GGA-PBE) data for ScSnGeSe2 after structural relaxation, as listed in Alexandria via LeMat-Bulk.

a b c (Å): 5.2736 5.5137 5.2736
angles (deg): 90.00 90.00 90.00
Atoms (fractional coordinates):
1 Ge 0.5000 0.5000 0.5000
2 Se 0.0000 0.0000 0.5000
3 Se 0.5000 0.0000 0.0000
4 Sn 0.0000 0.0000 0.0000
5 Sc 0.0000 0.5000 0.0000

Computed properties:
total DFT energy (no corrections): -3.85 eV per atom

=====

[20]
First-principles (GGA-PBE) data for Sc6SnGe2Se3 after structural relaxation, as listed in Alexandria via LeMat-Bulk.

a b c (Å): 3.8966 7.9807 8.8601
angles (deg): 104.01 102.70 90.00
Atoms (fractional coordinates):
1 Ge 0.8337 0.6671 0.6674
2 Ge 0.1663 0.3329 0.3326
3 Se 0.5000 0.5000 0.0000
4 Se 0.1655 0.8313 0.3309
5 Se 0.8345 0.1687 0.6691
6 Sc 0.9968 0.7365 0.9935
7 Sc 0.0032 0.2635 0.0065
8 Sc 0.6714 0.5756 0.3427
9 Sc 0.3286 0.4244 0.6573
10 Sc 0.3284 0.9038 0.6568
11 Sc 0.6716 0.0962 0.3432
12 Sn 0.5000 0.0000 0.0000

Computed properties:
total DFT energy (no corrections): -6.32 eV per atom